No. 1
Compound: PmDyTh2
Source: Alexandria via LeMat-Bulk
Functional: GGA-PBE
Structure: optimized geometry

a b c (Å): 3.561 3.561 10.271
angles (deg): 90.00 90.00 90.00
Fractional positions:
Th 0.000 0.000 0.246
Th 0.000 0.000 0.754
Dy 0.500 0.500 0.000
Pm 0.500 0.500 0.500

## Properties
calculated formation energy: 0.07 eV per atom
calculated density: 9.837 Mg/m³
energy above the lowest structure with this stoichiometry: 39.2 meV/atom


No. 2
Compound: Pm3Dy12Th
Source: Alexandria via LeMat-Bulk
Functional: GGA-PBE
Structure: optimized geometry

a b c (Å): 5.041 5.041 20.157
angles (deg): 90.00 90.00 90.00
Fractional positions:
Dy 0.500 0.500 0.000
Dy 0.500 0.500 0.250
Dy 0.500 0.500 0.500
Dy 0.500 0.000 0.626
Dy 0.500 0.500 0.750
Dy 0.000 0.500 0.626
Dy 0.000 0.500 0.374
Dy 0.500 0.000 0.374
Dy 0.500 0.000 0.122
Dy 0.000 0.500 0.122
Dy 0.000 0.500 0.878
Dy 0.500 0.000 0.878
Pm 0.000 0.000 0.751
Pm 0.000 0.000 0.500
Pm 0.000 0.000 0.249
Th 0.000 0.000 0.000

## Properties
calculated formation energy: 0.02 eV per atom
calculated density: 8.483 Mg/m³


No. 3
Compound: PmDy6Th
Source: Alexandria via LeMat-Bulk
Functional: GGA-PBE
Structure: optimized geometry

a b c (Å): 6.745 6.550 6.947
angles (deg): 79.39 59.77 90.50
Fractional positions:
Th 0.000 0.500 0.000
Pm 0.000 0.000 0.000
Dy 0.093 0.767 0.481
Dy 0.572 0.729 0.518
Dy 0.428 0.271 0.482
Dy 0.547 0.747 0.996
Dy 0.907 0.233 0.519
Dy 0.453 0.253 0.004

## Properties
calculated formation energy: 0.22 eV per atom
calculated density: 8.678 Mg/m³
energy above the lowest structure with this stoichiometry: 197.5 meV/atom


No. 4
Compound: Pm7Dy3Th
Source: Alexandria via LeMat-Bulk
Functional: GGA-PBE
Structure: optimized geometry

a b c (Å): 10.225 10.231 12.546
angles (deg): 114.32 65.68 138.76
Fractional positions:
Pm 0.417 0.086 0.974
Pm 0.160 0.832 0.724
Pm 0.421 0.089 0.472
Pm 0.914 0.584 0.474
Pm 0.832 0.160 0.776
Pm 0.579 0.911 0.528
Pm 0.086 0.416 0.526
Pm 0.168 0.840 0.224
Pm 0.089 0.420 0.028
Pm 0.911 0.580 0.972
Pm 0.266 0.266 0.750
Pm 0.734 0.734 0.250
Pm 0.840 0.168 0.276
Pm 0.583 0.914 0.026
Dy 0.000 0.000 0.500
Dy 0.667 0.335 0.227
Dy 0.333 0.665 0.773
Dy 0.000 0.000 0.000
Dy 0.665 0.333 0.727
Dy 0.335 0.667 0.273
Th 0.500 0.500 0.000
Th 0.500 0.500 0.500

## Properties
calculated formation energy: 0.19 eV per atom
calculated density: 7.414 Mg/m³


Look up the calculated formation energy of the first one.
0.07 eV per atom